! PBE La2CePb9, relaxed; values from VASP
! * energy of formation: -413.5 meV per atom
! * calculated total energy: -4.51 eV/atom
&SYSTEM
  ibrav = 0, nat = 12, ntyp = 3
/
ATOMIC_SPECIES
La 138.91 La.upf
Ce 140.12 Ce.upf
Pb 207.20 Pb.upf
CELL_PARAMETERS angstrom
4.951 0.000 0.000
0.000 4.951 0.000
0.000 0.000 14.854
ATOMIC_POSITIONS angstrom
La 0.000 0.000 4.913
La 0.000 0.000 9.941
Ce 0.000 0.000 0.000
Pb 2.475 2.475 0.000
Pb 2.475 2.475 4.937
Pb 2.475 2.475 9.917
Pb 2.475 0.000 2.429
Pb 2.475 0.000 7.427
Pb 2.475 0.000 12.425
Pb 0.000 2.475 2.429
Pb 0.000 2.475 7.427
Pb 0.000 2.475 12.425